Compound: Al3CuSi
Source: the Alexandria database
Functional: PBE
Structure: optimized geometry

Output
energy relative to the lowest polymorph listed for this composition: 1.701 eV per formula unit
formation energy (no corrections): 0.4469 eV/atom
M_tot: 0.000 μB per atom

Lattice parameters (Å, degrees): 4.5320 4.5320 4.5320 90.00 90.00 90.00
Last column: nearest neighbours and their distance in Å.
Element x y z (fractional)
Al  0.0000  0.0000  0.5000  2 Cu 2.27
Al  0.0000  0.5000  0.0000  2 Cu 2.27
Al  0.5000  0.0000  0.0000  2 Cu 2.27
Cu  0.0000  0.0000  0.0000  6 Al 2.27
Si  0.5000  0.5000  0.5000  12 Al 3.20

Compound: Al4Cu7Si
Source: the Alexandria database
Functional: PBE
Structure: optimized geometry

Output
formation energy (no corrections): -0.0106 eV/atom
M_tot: 0.000 μB per atom

Lattice parameters (Å, degrees): 5.0923 5.0923 9.3288 114.72 114.72 51.87
Last column: nearest neighbours and their distance in Å.
Element x y z (fractional)
Al  0.1039  0.1039  0.2678  8 Cu 2.53-2.74
Al  0.2449  0.2449  0.8166  5 Cu 2.44-2.69
Al  0.7551  0.7551  0.1834  5 Cu 2.44-2.69
Al  0.8961  0.8961  0.7322  8 Cu 2.53-2.74
Cu  0.0000  0.0000  0.5000  2 Si 2.23, 2 Cu 2.45
Cu  0.1445  0.1445  0.0178  5 Al 2.44-2.63, 4 Cu 2.47-2.64
Cu  0.2943  0.2943  0.5770  1 Si 2.31, 4 Cu 2.45-2.57, 3 Al 2.48-2.58
Cu  0.4486  0.4486  0.1527  4 Cu 2.47-2.64, 3 Al 2.59-2.69
Cu  0.5514  0.5514  0.8473  4 Cu 2.47-2.64, 3 Al 2.59-2.69
Cu  0.7057  0.7057  0.4230  1 Si 2.31, 4 Cu 2.45-2.57, 3 Al 2.48-2.58
Cu  0.8555  0.8555  0.9822  5 Al 2.44-2.63, 4 Cu 2.47-2.64
Si  0.5000  0.5000  0.5000  4 Cu 2.23-2.31

Compound: AlCuSi
Source: the Alexandria database
Functional: PBE
Structure: optimized geometry

Output
formation energy (no corrections): -0.0065 eV/atom
M_tot: 0.000 μB per atom

Lattice parameters (Å, degrees): 3.9366 5.7487 5.5548 90.00 134.67 90.00
Last column: nearest neighbours and their distance in Å.
Element x y z (fractional)
Al  0.0000  0.1945  0.2500  1 Si 2.47, 4 Cu 2.64
Al  0.0000  0.8055  0.7500  1 Si 2.47, 4 Cu 2.64
Cu  0.5000  0.4998  0.2500  4 Si 2.49, 4 Al 2.64, 2 Cu 2.78
Cu  0.5000  0.5002  0.7500  4 Si 2.49, 4 Al 2.64, 2 Cu 2.78
Si  0.0000  0.2350  0.7500  1 Al 2.47, 4 Cu 2.49
Si  0.0000  0.7650  0.2500  1 Al 2.47, 4 Cu 2.49

Compound: Al3Cu2Si3
Source: the Alexandria database
Functional: PBE
Structure: optimized geometry

Output
energy relative to the lowest polymorph listed for this composition: 0.000 eV per formula unit
formation energy (no corrections): 0.0666 eV/atom
M_tot: 0.000 μB per atom

Lattice parameters (Å, degrees): 5.1280 6.5726 8.1167 76.91 83.17 68.48
Last column: nearest neighbours and their distance in Å.
Element x y z (fractional)
Al  0.0228  0.1920  0.0228  2 Si 2.55-2.67, 4 Cu 2.58-2.67, 2 Al 2.73-2.82
Al  0.1933  0.1461  0.4589  2 Cu 2.45-2.61, 4 Si 2.55-2.69
Al  0.3659  0.4396  0.1773  4 Si 2.59-2.73, 2 Cu 2.61-2.62, 1 Al 2.82
Al  0.6341  0.5604  0.8227  4 Si 2.59-2.73, 2 Cu 2.61-2.62, 1 Al 2.82
Al  0.8067  0.8539  0.5411  2 Cu 2.45-2.61, 4 Si 2.55-2.69
Al  0.9772  0.8080  0.9772  2 Si 2.55-2.67, 4 Cu 2.58-2.67, 2 Al 2.73-2.82
Cu  0.1166  0.8797  0.2899  3 Al 2.45-2.61, 1 Cu 2.46, 3 Si 2.49-2.73
Cu  0.4614  0.8090  0.0523  3 Si 2.41-2.45, 2 Cu 2.46-2.62, 5 Al 2.61-2.67
Cu  0.5386  0.1910  0.9477  3 Si 2.41-2.45, 2 Cu 2.46-2.62, 5 Al 2.61-2.67
Cu  0.8834  0.1203  0.7101  3 Al 2.45-2.61, 1 Cu 2.46, 3 Si 2.49-2.73
Si  0.1671  0.5039  0.8012  1 Cu 2.41, 1 Si 2.43, 4 Al 2.55-2.67
Si  0.2573  0.5205  0.4981  2 Si 2.41-2.43, 1 Cu 2.49, 2 Al 2.59-2.69
Si  0.4179  0.0032  0.7561  4 Cu 2.45-2.73, 3 Al 2.55-2.66
Si  0.5821  0.9968  0.2439  4 Cu 2.45-2.73, 3 Al 2.55-2.66
Si  0.7427  0.4795  0.5019  2 Si 2.41-2.43, 1 Cu 2.49, 2 Al 2.59-2.69
Si  0.8329  0.4961  0.1988  1 Cu 2.41, 1 Si 2.43, 4 Al 2.55-2.67